Here is a geometry-optimized SrYS2 structure from Alexandria via LeMat-Bulk. Energies are from GGA-PBEsol.

Results
* space group: R-3m (166)
* E: -5.75 eV per atom
* energy relative to the elements, uncorrected: -1.396 eV/atom
* total magnetic moment: 0.2 μB/f.u.

Unit cell a=4.324 b=4.324 c=24.308 alpha=90.00 beta=90.00 gamma=120.00
Fractional coordinates of all 12 atoms:
Sr 0.000 0.000 0.000
Sr 0.333 0.667 0.667
Sr 0.667 0.333 0.333
Y 0.000 0.000 0.500
Y 0.333 0.667 0.167
Y 0.667 0.333 0.833
S 0.000 0.000 0.397
S 0.000 0.000 0.603
S 0.333 0.667 0.064
S 0.333 0.667 0.269
S 0.667 0.333 0.731
S 0.667 0.333 0.936